This record from the Alexandria database describes an optimized crystal structure of AcHgP. The functional is PBE-GGA.

Cell: 4.373 4.385 9.242 Å, 90.07 90.20 90.10°
Space group P-1 (No. 2)
One atom of each set of equivalent atoms:
Ac: 0.248 0.249 0.326
Hg: 0.251 0.250 0.952
P: 0.252 0.251 0.655

## Properties
Offset from the most stable computed form = 0 meV per atom
Formation energy = -0.9065 eV per atom

This record from the Alexandria database describes an optimized crystal structure of Ac2HgP. The functional is PBE-GGA.

Cell: 7.818 7.818 7.818 Å, 90.00 90.00 90.00°
Space group Fm-3m (No. 225)
One atom of each set of equivalent atoms:
Ac: 0.250 0.250 0.250
Hg: 0.000 0.000 0.000
P: 0.000 0.000 0.500

## Properties
Offset from the most stable computed form = 306 meV per atom
Formation energy = -0.5892 eV per atom